Record 1
KBaNbN3 after structural relaxation, computed with PBE.

Summary:
formation energy (no corrections): -2.8 eV/f.u.
D(E_F): 6.02 states/eV per cell
total DFT energy (no corrections): -81.8 eV/cell

Cell: 5.7616 6.4973 6.9445 Å, 62.11 83.99 77.08°
Last column: nearest neighbours and their distance in Å.
Positions (direct):
K1 0.7500 0.4265 0.1470  5 N 2.70-2.75
K2 0.2500 0.5735 0.8530  5 N 2.70-2.75
N1 0.9882 0.7573 0.1115  2 Nb 2.01-2.15
N2 0.4882 0.8688 0.8885  2 Nb 2.01-2.15
N3 0.5118 0.1312 0.1115  2 Nb 2.01-2.15
N4 0.2500 0.7947 0.4107  1 Nb 2.02
N5 0.0118 0.2427 0.8885  2 Nb 2.01-2.15
N6 0.7500 0.2053 0.5893  1 Nb 2.02
Ba1 0.7500 0.7492 0.5017  4 N 2.89-2.93
Ba2 0.2500 0.2508 0.4983  4 N 2.89-2.93
Nb1 0.2500 0.9591 0.0819  5 N 2.01-2.15
Nb2 0.7500 0.0409 0.9181  5 N 2.01-2.15


Record 2
KBaNpN3 after structural relaxation, computed with PBE.

Summary:
formation energy (no corrections): -3.9 eV/f.u.
D(E_F): 8.91 states/eV per cell
total DFT energy (no corrections): -89.6 eV/cell

Cell: 6.0457 6.3519 7.5083 Å, 64.98 86.41 81.49°
Last column: nearest neighbours and their distance in Å.
Positions (direct):
K1 0.2500 0.2340 0.5320  6 N 3.04-3.32
K2 0.7500 0.7660 0.4680  6 N 3.04-3.32
Np1 0.2500 0.9353 0.1293  3 N 1.95-2.17
Np2 0.7500 0.0647 0.8707  3 N 1.95-2.17
Ba1 0.2500 0.5921 0.8158  5 N 2.72-2.82
Ba2 0.7500 0.4079 0.1842  5 N 2.72-2.82
N1 0.5070 0.1664 0.0556  2 Np 2.17-2.18
N2 0.4930 0.8336 0.9444  2 Np 2.17-2.18
N3 0.9930 0.7780 0.0556  2 Np 2.17-2.18
N4 0.7500 0.2077 0.5846  1 Np 1.95
N5 0.2500 0.7923 0.4154  1 Np 1.95
N6 0.0070 0.2220 0.9444  2 Np 2.17-2.18